Density functional theory data (GGA-PBE) for a relaxed NaAl2Pt2 crystal.

Its energy above the lowest structure with this stoichiometry is 0.51 eV per formula unit. The size of the total moment is 0.00 μB/cell. Its final energy is -4.9258 eV/atom.

The structure belongs to space group I4/mmm (No. 139); the cell edges are 4.058, 4.058 and 11.232 Å and the angles 90.00°, 90.00° and 90.00°. Symmetry generates all atoms from Na at (0.000, 0.000, 0.000), Al at (0.000, 0.500, 0.250) and Pt at (0.000, 0.000, 0.381).